[1]
## HoPu3 (PBE)

Data for a geometry-optimized HoPu3 structure.

Summary:
For the density of states at the Fermi level, the calculation gives 19.58 states/eV/f.u. For the energy above the most stable polymorph in this dataset, the calculation gives 6 kJ/mol of formula units. The formation energy comes out at 0.266 eV per atom.

Cell lengths 6.874, 6.874, 5.496 Å; angles 90.00, 90.00, 120.00 degrees
Fractional coordinates of all 8 atoms:
Ho  0.333  0.667  0.250
Ho  0.667  0.333  0.750
Pu  0.163  0.327  0.750
Pu  0.163  0.837  0.750
Pu  0.327  0.163  0.250
Pu  0.673  0.837  0.750
Pu  0.837  0.163  0.250
Pu  0.837  0.673  0.250

***

[2]
## MnIr6Rh12 (PBE)

Data for a geometry-optimized MnIr6Rh12 structure.

Summary:
For the density of states at the Fermi level, the calculation gives 28.89 states/eV/f.u. The formation energy comes out at 0.141 eV per atom.

Cell lengths 6.532, 6.532, 6.532 Å; angles 90.22, 90.22, 90.22 degrees
Fractional coordinates of all 19 atoms:
Mn  0.000  0.000  0.000
Ir  0.112  0.261  0.728
Ir  0.261  0.728  0.112
Ir  0.272  0.888  0.739
Ir  0.728  0.112  0.261
Ir  0.739  0.272  0.888
Ir  0.888  0.739  0.272
Rh  0.041  0.371  0.153
Rh  0.153  0.041  0.371
Rh  0.199  0.563  0.479
Rh  0.371  0.153  0.041
Rh  0.437  0.521  0.801
Rh  0.479  0.199  0.563
Rh  0.521  0.801  0.437
Rh  0.563  0.479  0.199
Rh  0.629  0.847  0.959
Rh  0.801  0.437  0.521
Rh  0.847  0.959  0.629
Rh  0.959  0.629  0.847

***

[3]
## MgMo2 (PBE)

Data for a geometry-optimized MgMo2 structure.

Summary:
For the density of states at the Fermi level, the calculation gives 2.75 states/eV/f.u. For the energy above the most stable polymorph in this dataset, the calculation gives 56 kJ/mol of formula units. The formation energy comes out at 0.379 eV per atom.

Cell lengths 8.195, 8.195, 4.745 Å; angles 90.00, 90.00, 161.33 degrees
Fractional coordinates of all 6 atoms:
Mg  0.214  0.786  0.750
Mg  0.786  0.214  0.250
Mo  0.110  0.890  0.250
Mo  0.453  0.547  0.250
Mo  0.547  0.453  0.750
Mo  0.890  0.110  0.750

***

Question: Number 1 is which compound?
Answer: HoPu3

***

Question: Among the records above, which one has the highest formation energy?
Answer: MgMo2

***

Question: Among the records above, which one has the lowest formation energy?
Answer: MnIr6Rh12

***

Question: What is the formation energy in the second record?
Answer: 0.141 eV per atom